No. 1
A plane-wave DFT calculation with GGA-PBE was carried out for an optimized crystal structure of TbY2H8.

Calculated values
E_tot   -4.6609 eV per atom
Volume   206.2 Å³ per cell

a b c (Å): 3.645 5.173 10.936
angles (deg): 90.00 90.00 90.00
Space group Immm (No. 71)
One atom of each set of equivalent atoms:
Tb1 0.000 0.000 0.000 (multiplicity 2)
Y1 0.000 0.000 0.332 (multiplicity 4)
H1 0.000 0.229 0.500 (multiplicity 4)
H2 0.000 0.261 0.161 (multiplicity 8)
H3 0.000 0.500 0.343 (multiplicity 4)

***

No. 2
A plane-wave DFT calculation with GGA-PBE was carried out for an optimized crystal structure of TbY2H.

Calculated values
Distance to the lowest polymorph of the same formula   0.016 eV per atom
Volume   288.8 Å³ per cell

a b c (Å): 3.5994 3.5994 25.7355
angles (deg): 90.00 90.00 120.00
Space group R3m (No. 160, hexagonal axes)
One atom of each set of equivalent atoms:
Tb1 0.0000 0.0000 0.0000 (multiplicity 3)
Y1 0.0000 0.0000 0.5554 (multiplicity 3)
Y2 0.0000 0.0000 0.7799 (multiplicity 3)
H1 0.0000 0.0000 0.1666 (multiplicity 3)

***

No. 3
A plane-wave DFT calculation with GGA-PBE was carried out for an optimized crystal structure of Tb3Y5H12.

Calculated values
E_tot   -4.8074 eV per atom
Volume   2249.9 Å³ per cell

a b c (Å): 13.104 13.104 13.104
angles (deg): 90.00 90.00 90.00
Space group Ia-3d (No. 230)
One atom of each set of equivalent atoms:
Tb1 0.000 0.250 0.125 (multiplicity 24)
Y1 0.000 0.000 0.000 (multiplicity 16)
Y2 0.000 0.250 0.375 (multiplicity 24)
H1 0.002 0.067 0.656 (multiplicity 96)

***

No. 4
A plane-wave DFT calculation with GGA-PBE was carried out for an optimized crystal structure of TbYH4.

Calculated values
E_tot   -4.7955 eV per atom
Volume   282.5 Å³ per cell

a b c (Å): 5.192 5.192 10.478
angles (deg): 90.00 90.00 90.00
Space group I4_1/amd (No. 141, origin choice 2)
One atom of each set of equivalent atoms:
Tb1 0.000 0.250 0.375 (multiplicity 4)
Y1 0.000 0.250 0.875 (multiplicity 4)
H1 0.249 0.000 0.000 (multiplicity 16)

***

No. 5
A plane-wave DFT calculation with GGA-PBE was carried out for an optimized crystal structure of TbYH.

Calculated values
Distance to the lowest polymorph of the same formula   0.047 eV per atom
Volume   511.6 Å³ per cell

a b c (Å): 6.298 14.590 5.568
angles (deg): 90.00 90.00 90.00
Space group Pna2_1 (No. 33)
One atom of each set of equivalent atoms:
Tb1 0.081 0.062 0.000 (multiplicity 4)
Tb2 0.082 0.813 0.997 (multiplicity 4)
Y1 0.084 0.312 0.004 (multiplicity 4)
Y2 0.084 0.563 0.004 (multiplicity 4)
H1 0.246 0.437 0.752 (multiplicity 4)
H2 0.248 0.687 0.751 (multiplicity 4)

***

No. 6
A plane-wave DFT calculation with GGA-PBE was carried out for an optimized crystal structure of TbYH.

Calculated values
Distance to the lowest polymorph of the same formula   0.000 eV per atom
Volume   67.3 Å³ per cell

a b c (Å): 3.7710 3.7710 5.4628
angles (deg): 90.00 90.00 120.00
Space group P-6m2 (No. 187)
One atom of each set of equivalent atoms:
Tb1 0.0000 0.0000 0.0000 (multiplicity 1)
Y1 0.6667 0.3333 0.5000 (multiplicity 1)
H1 0.6667 0.3333 0.0000 (multiplicity 1)